[1]
! KSr6Cl12 (PBE, optimized geometry); values from VASP
&SYSTEM
  ibrav = 0, nat = 19, ntyp = 3
/
ATOMIC_SPECIES
K 39.10 K.upf
Sr 87.62 Sr.upf
Cl 35.45 Cl.upf
CELL_PARAMETERS angstrom
-7.147 4.157 2.671
-1.278 -7.826 3.552
5.902 3.292 5.461
ATOMIC_POSITIONS angstrom
K 0.000 0.000 0.000
Sr 2.126 0.260 4.637
Sr -0.517 2.591 8.044
Sr 0.175 -2.700 8.022
Sr -4.649 -0.637 7.047
Sr -2.006 -2.968 3.641
Sr -2.698 2.323 3.662
Cl 0.035 2.375 5.004
Cl 0.608 -2.358 4.975
Cl -3.684 -0.471 4.109
Cl -2.557 -2.752 6.680
Cl -3.130 1.981 6.709
Cl 1.161 0.094 7.575
Cl 2.052 -4.817 7.273
Cl -3.214 -5.527 4.383
Cl 4.540 0.602 6.255
Cl -4.575 4.440 4.411
Cl 0.692 5.151 7.301
Cl -7.063 -0.979 5.429
! Energy relative to the elements, uncorrected = -223 kJ per mole of atoms
! Volume = 617 Å³/cell

***

[2]
! KSrCl2 (PBE, optimized geometry); values from VASP
&SYSTEM
  ibrav = 0, nat = 4, ntyp = 3
/
ATOMIC_SPECIES
Sr 87.62 Sr.upf
K 39.10 K.upf
Cl 35.45 Cl.upf
CELL_PARAMETERS angstrom
5.736 0.000 0.000
2.868 4.968 0.000
2.868 1.656 4.684
ATOMIC_POSITIONS angstrom
Sr 8.604 4.968 3.513
K 5.736 3.312 2.342
Cl 0.000 0.000 0.000
Cl 2.868 1.656 1.171
! Energy relative to the elements, uncorrected = -98 kJ per mole of atoms
! Distance to the lowest polymorph of the same formula = 3.13 eV per formula unit
! Volume = 133 Å³/cell